Computed, not measured: an optimized crystal structure of Na4CoO4 at the GGA+U level of DFT.

Cell lengths 5.6444, 5.6632, 8.5650 Å; angles 71.46, 80.61, 68.17 degrees
Positions (direct):
Na1 0.0000 0.0000 0.0000
Na2 0.0010 0.3624 0.1925
Na3 0.0159 0.1210 0.6060
Na4 0.4776 0.0781 0.7479
Na5 0.4957 0.8361 0.1605
Na6 0.4980 0.1936 0.3567
Na7 0.5088 0.6475 0.5721
Na8 0.9869 0.5496 0.7828
Co1 0.0285 0.7544 0.4231
Co2 0.4678 0.4422 0.9318
O1 0.2223 0.9643 0.3721
O2 0.2281 0.4298 0.5369
O3 0.2682 0.7665 0.8171
O4 0.2737 0.2321 0.9820
O5 0.6052 0.4427 0.1053
O6 0.7251 0.3034 0.7943
O7 0.7723 0.8916 0.5621
O8 0.8878 0.7552 0.2505

Output
Calculated total energy (eV/atom): -4.67
Space group: P1, No. 1